VASP calculation (PBE-GGA) on a relaxed HfAg crystal.

a = 4.318 Å, b = 4.318 Å, c = 4.318 Å
α = 60.00°, β = 60.00°, γ = 60.00°
Fractional positions:
1 Ag 0.000 0.000 0.000
2 Hf 0.250 0.250 0.250

Values from the calculation:
M_tot in μB per atom: 0.002
Calculated formation energy in eV/atom: 1.265
V in Å³/atom: 28.46
Final energy in Ry per atom: -0.3767

---

VASP calculation (PBE-GGA) on a relaxed CsSmNb crystal.

a = 5.525 Å, b = 5.525 Å, c = 5.525 Å
α = 60.00°, β = 60.00°, γ = 60.00°
Fractional positions:
1 Cs 0.250 0.250 0.250
2 Nb 0.750 0.750 0.750
3 Sm 0.000 0.000 0.000

Values from the calculation:
M_tot in μB per atom: 1.602
V in Å³/atom: 39.74
Final energy in Ry per atom: -0.2507

---

VASP calculation (PBE-GGA) on a relaxed CuBPt3 crystal.

a = 5.540 Å, b = 5.540 Å, c = 5.552 Å
α = 104.76°, β = 104.76°, γ = 60.57°
Fractional positions:
1 B 0.831 0.831 0.499
2 B 0.169 0.169 0.501
3 Cu 0.452 0.452 0.197
4 Cu 0.548 0.548 0.803
5 Pt 0.958 0.455 0.227
6 Pt 0.455 0.958 0.227
7 Pt 0.956 0.956 0.231
8 Pt 0.044 0.044 0.769
9 Pt 0.545 0.042 0.773
10 Pt 0.042 0.545 0.773

Values from the calculation:
M_tot in μB per atom: 0.000
V in Å³/atom: 14.18
Final energy in Ry per atom: -0.4360

---

VASP calculation (PBE-GGA) on a relaxed Rb2CdIrO6 crystal.

a = 5.874 Å, b = 5.874 Å, c = 5.874 Å
α = 60.00°, β = 60.00°, γ = 60.00°
Each line ends with the local moment (μB).
Fractional positions:
1 Cd 0.000 0.000 0.000  0.00
2 Ir 0.500 0.500 0.500  0.40
3 O 0.727 0.273 0.273  0.08
4 O 0.273 0.727 0.273  0.07
5 O 0.727 0.727 0.273  0.02
6 O 0.273 0.273 0.727  0.02
7 O 0.727 0.273 0.727  0.07
8 O 0.273 0.727 0.727  0.08
9 Rb 0.250 0.250 0.250  0.01
10 Rb 0.750 0.750 0.750  0.01

Values from the calculation:
M_tot in μB per atom: 0.089
V in Å³/atom: 14.33
Final energy in Ry per atom: -0.3714

---

VASP calculation (PBE-GGA) on a relaxed TbPrTh crystal.

a = 5.397 Å, b = 5.397 Å, c = 5.397 Å
α = 60.00°, β = 60.00°, γ = 60.00°
Each line ends with the local moment (μB).
Fractional positions:
1 Pr 0.000 0.000 0.000  0.45
2 Tb 0.250 0.250 0.250  0.31
3 Th 0.750 0.750 0.750  0.33

Values from the calculation:
M_tot in μB per atom: 0.551
Calculated formation energy in eV/atom: 0.812
V in Å³/atom: 37.05
Final energy in Ry per atom: -0.3523

---

VASP calculation (PBE-GGA) on a relaxed Sc2Nb4In3N3 crystal.

a = 5.551 Å, b = 5.551 Å, c = 14.747 Å
α = 100.72°, β = 100.72°, γ = 60.32°
Fractional positions:
1 In 0.772 0.581 0.250
2 In 0.065 0.935 0.250
3 In 0.419 0.228 0.250
4 In 0.581 0.772 0.750
5 In 0.935 0.065 0.750
6 In 0.228 0.419 0.750
7 N 0.000 0.500 0.000
8 N 0.340 0.820 0.000
9 N 0.180 0.660 0.500
10 N 0.500 0.000 0.500
11 N 0.820 0.340 0.500
12 N 0.660 0.180 0.000
13 Nb 0.028 0.191 0.078
14 Nb 0.694 0.861 0.079
15 Nb 0.139 0.306 0.421
16 Nb 0.809 0.972 0.422
17 Nb 0.191 0.028 0.578
18 Nb 0.861 0.694 0.579
19 Nb 0.306 0.139 0.921
20 Nb 0.972 0.809 0.922
21 Sc 0.366 0.529 0.088
22 Sc 0.471 0.634 0.412
23 Sc 0.529 0.366 0.588
24 Sc 0.634 0.471 0.912

Values from the calculation:
M_tot in μB per atom: 0.000
V in Å³/atom: 16.06
Final energy in Ry per atom: -0.5867